DFT (GGA-PBE) results for a relaxed structure of Sc3Ga3Ag.

```
Sc3Ga3Ag
1.0
5.172 -2.118 0.000
5.172 2.118 0.000
-4.328 0.000 12.613
Sc Ga Ag
6 6 2
Cartesian
-1.363 0.000 4.763
-2.920 0.000 11.656
1.398 0.000 2.764
4.619 0.000 9.849
8.936 0.000 0.957
7.379 0.000 7.850
1.978 0.000 5.621
-0.029 0.000 11.683
1.705 0.000 9.747
4.312 0.000 2.866
6.045 0.000 0.929
4.039 0.000 6.992
0.099 0.000 7.644
5.917 0.000 4.969
```

Summary:
symmetry: C2/m (12)
polymorph energy (0 for the lowest one): 0.000 eV per atom
formation enthalpy at 0 K: -3.57 eV per formula unit
theoretical density: 5.43 g/cm³